Entry 1:
8
Lattice="5.946 0.000 0.000 0.000 9.270 0.000 0.000 0.000 3.053" Properties=species:S:1:pos:R:3 comment="LiCaAl2, PBEsol geometry, DFT SCAN" space_group="No. 65" formation_energy_ev_per_atom=-0.023 pbc="T T T"
Li 0.000 0.000 0.000
Li 2.973 4.635 0.000
Ca 0.000 4.635 0.000
Ca 2.973 0.000 0.000
Al 1.486 2.317 1.527
Al 1.486 6.952 1.527
Al 4.459 2.317 1.527
Al 4.459 6.952 1.527

Entry 2:
4
Lattice="3.074 0.000 0.000 0.000 3.074 0.000 0.000 0.000 5.710" Properties=species:S:1:pos:R:3 comment="TaFe2Ir, PBEsol geometry, DFT SCAN" space_group="No. 99" formation_energy_ev_per_atom=-0.289 pbc="T T T"
Ta 0.000 0.000 0.000
Fe 0.000 0.000 2.630
Fe 1.537 1.537 1.412
Ir 1.537 1.537 4.139

Entry 3:
10
Lattice="4.184 0.000 0.000 0.000 4.184 0.000 0.000 0.000 9.936" Properties=species:S:1:pos:R:3 comment="LaCeSi4Pd4, PBEsol geometry, DFT SCAN" space_group="No. 123" formation_energy_uncorrected_mev_per_atom=-974 pbc="T T T"
La 0.000 0.000 0.000
Ce 2.092 2.092 4.968
Si 0.000 0.000 3.800
Si 0.000 0.000 6.136
Si 2.092 2.092 1.195
Si 2.092 2.092 8.741
Pd 0.000 2.092 2.517
Pd 0.000 2.092 7.419
Pd 2.092 0.000 2.517
Pd 2.092 0.000 7.419

Entry 4:
8
Lattice="3.787 0.000 0.000 0.000 3.787 0.000 0.000 0.000 7.581" Properties=species:S:1:pos:R:3 comment="IrRh3, PBEsol geometry, DFT SCAN" space_group="No. 139" formation_energy_ev_per_atom=-0.023 pbc="T T T"
Ir 0.000 0.000 0.000
Ir 1.893 1.893 3.791
Rh 0.000 0.000 3.791
Rh 0.000 1.893 1.895
Rh 0.000 1.893 5.686
Rh 1.893 0.000 1.895
Rh 1.893 0.000 5.686
Rh 1.893 1.893 0.000

Entry 5:
5
Lattice="4.726 0.000 0.000 0.000 4.726 0.000 0.000 0.000 4.726" Properties=species:S:1:pos:R:3 comment="TaSnMo3, PBEsol geometry, DFT SCAN" space_group="No. 221" formation_energy_ev_per_atom=1.713 pbc="T T T"
Ta 0.000 0.000 0.000
Sn 2.363 2.363 2.363
Mo 0.000 0.000 2.363
Mo 0.000 2.363 0.000
Mo 2.363 0.000 0.000

Entry 6:
16
Lattice="6.543 0.000 0.000 0.000 6.543 0.000 0.000 0.000 6.543" Properties=species:S:1:pos:R:3 comment="BeCrIn2, PBEsol geometry, DFT SCAN" space_group="No. 216" formation_energy_ev_per_atom=0.452 pbc="T T T"
Be 0.000 0.000 0.000
Be 0.000 3.271 3.271
Be 3.271 0.000 3.271
Be 3.271 3.271 0.000
Cr 1.636 1.636 4.907
Cr 1.636 4.907 1.636
Cr 4.907 1.636 1.636
Cr 4.907 4.907 4.907
In 0.000 0.000 3.271
In 0.000 3.271 0.000
In 1.636 1.636 1.636
In 1.636 4.907 4.907
In 3.271 0.000 0.000
In 3.271 3.271 3.271
In 4.907 1.636 4.907
In 4.907 4.907 1.636

Entry 7:
8
Lattice="4.330 0.000 0.000 0.000 4.330 0.000 0.000 0.000 4.330" Properties=species:S:1:pos:R:3 comment="CrN, PBEsol geometry, DFT SCAN" space_group="No. 216" formation_energy_uncorrected_mev_per_atom=-771 pbc="T T T"
Cr 0.000 0.000 0.000
Cr 0.000 2.165 2.165
Cr 2.165 0.000 2.165
Cr 2.165 2.165 0.000
N 1.082 1.082 3.247
N 1.082 3.247 1.082
N 3.247 1.082 1.082
N 3.247 3.247 3.247

Entry 8:
10
Lattice="4.258 0.000 0.000 0.000 4.258 0.000 0.000 0.000 15.499" Properties=species:S:1:pos:R:3 comment="LiSn2Sb2, PBEsol geometry, DFT SCAN" space_group="No. 139" formation_energy_uncorrected_mev_per_atom=73 pbc="T T T"
Li 0.000 0.000 0.000
Li 2.129 2.129 7.749
Sn 0.000 2.129 3.875
Sn 0.000 2.129 11.624
Sn 2.129 0.000 3.875
Sn 2.129 0.000 11.624
Sb 0.000 0.000 6.355
Sb 0.000 0.000 9.144
Sb 2.129 2.129 1.394
Sb 2.129 2.129 14.104

Number 1: density of states at the Fermi level 1.75 states/eV/f.u., volume 21.0 Å³ per atom. Number 2: density of states at the Fermi level 2.69 states/eV/f.u., volume 13.5 Å³ per atom. Number 3: density of states at the Fermi level 7.69 states/eV/f.u., volume 17.4 Å³ per atom. Number 4: density of states at the Fermi level 4.22 states/eV/f.u., volume 13.6 Å³ per atom. Number 5: density of states at the Fermi level 6.84 states/eV/f.u., volume 21.1 Å³ per atom. Number 6: density of states at the Fermi level 1.50 states/eV/f.u., volume 17.5 Å³ per atom. Number 7: density of states at the Fermi level 0.78 states/eV/f.u., volume 10.1 Å³ per atom. Number 8: density of states at the Fermi level 2.10 states/eV/f.u., volume 28.1 Å³ per atom.